Record 1
The following is a DFT calculation (GGA-PBE) of a relaxed structure of CeAlInPt3.

a = 5.745 Å, b = 16.759 Å, c = 5.675 Å
α = 90.00°, β = 90.00°, γ = 90.00°
Space group Cmcm (No. 63)
Unique sites:
Ce  0.000  0.220  0.250 (multiplicity 4)
Al  0.000  0.086  0.750 (multiplicity 4)
In  0.000  0.392  0.750 (multiplicity 4)
Pt  0.000  0.233  0.750 (multiplicity 4)
Pt  0.250  0.000  0.000 (multiplicity 8)

Values from the calculation:
Formation enthalpy at 0 K: -0.700 eV/atom

Record 2
The following is a DFT calculation (GGA-PBE) of a relaxed structure of CoOs3W.

a = 4.339 Å, b = 4.339 Å, c = 4.339 Å
α = 90.00°, β = 90.00°, γ = 90.00°
Space group Pm-3m (No. 221)
Unique sites:
Co  0.000  0.000  0.000 (multiplicity 1)
Os  0.000  0.000  0.500 (multiplicity 3)
W  0.500  0.500  0.500 (multiplicity 1)

Values from the calculation:
Formation enthalpy at 0 K: 1.827 eV/atom
Energy relative to the lowest polymorph listed for this composition: 0 meV/atom

Record 3
The following is a DFT calculation (GGA-PBE) of a relaxed structure of CrTc2Ni.

a = 8.629 Å, b = 2.683 Å, c = 4.620 Å
α = 90.00°, β = 100.58°, γ = 90.00°
Space group C2/m (No. 12)
Unique sites:
Cr  0.000  0.000  0.000 (multiplicity 2)
Tc  0.250  0.000  0.748 (multiplicity 4)
Ni  0.000  0.500  0.500 (multiplicity 2)

Values from the calculation:
Formation enthalpy at 0 K: 0.152 eV/atom
Energy relative to the lowest polymorph listed for this composition: 131 meV/atom

Record 4
The following is a DFT calculation (GGA-PBE) of a relaxed structure of ErZnIn2.

a = 4.5525 Å, b = 4.5525 Å, c = 15.9007 Å
α = 90.00°, β = 90.00°, γ = 120.00°
Space group R-3m (No. 166, hexagonal axes)
Unique sites:
Er  0.0000  0.0000  0.0000 (multiplicity 3)
Zn  0.0000  0.0000  0.5000 (multiplicity 3)
In  0.0000  0.0000  0.2266 (multiplicity 6)

Values from the calculation:
Formation enthalpy at 0 K: -0.180 eV/atom

Record 5
The following is a DFT calculation (GGA-PBE) of a relaxed structure of Pu2SiAu.

a = 5.783 Å, b = 7.405 Å, c = 4.059 Å
α = 90.00°, β = 90.00°, γ = 90.00°
Space group Cmmm (No. 65)
Unique sites:
Pu  0.250  0.250  0.000 (multiplicity 4)
Si  0.000  0.000  0.500 (multiplicity 2)
Au  0.000  0.500  0.500 (multiplicity 2)

Values from the calculation:
Formation energy without anion corrections: -1.46 eV/f.u.

Record 6
The following is a DFT calculation (GGA-PBE) of a relaxed structure of Ti3PtN.

a = 2.840 Å, b = 6.327 Å, c = 12.025 Å
α = 90.00°, β = 90.00°, γ = 90.00°
Space group Amm2 (No. 38)
Unique sites:
Ti  0.000  0.000  0.000 (multiplicity 2)
Ti  0.500  0.218  0.828 (multiplicity 4)
Pt  0.500  0.000  0.183 (multiplicity 2)
N  0.000  0.000  0.817 (multiplicity 2)

Values from the calculation:
Formation energy without anion corrections: -1.74 eV/f.u.

Q: What is the formula in the fifth record?
A: Pu2SiAu